Entry i
Below is crystalline CdCoPW at its relaxed geometry, with properties calculated at the PBE level.

The structure belongs to space group Amm2 (No. 38); the cell edges are 3.232, 2.775 and 13.507 Å and the angles 90.00°, 90.00° and 90.00°. Symmetry generates all atoms from Cd at (0.000, 0.000, 0.000), Co at (0.500, 0.000, 0.658), P at (0.000, 0.000, 0.211) and W at (0.500, 0.000, 0.341).

The density of states at the Fermi level is 0.691 states/eV/atom. The calculation puts the density at 10.584 g cm⁻³.

---

Entry ii
Below is crystalline CdCoPW at its relaxed geometry, with properties calculated at the PBE level.

The structure belongs to space group Cm (No. 8); the cell edges are 8.933, 2.844 and 5.011 Å and the angles 90.00°, 111.71° and 90.00°. Symmetry generates all atoms from Cd at (0.000, 0.000, 0.000), Co at (0.272, 0.500, 0.196), P at (0.439, 0.000, 0.490) and W at (0.197, 0.000, 0.616).

The density of states at the Fermi level is 0.839 states/eV/atom. The calculation puts the density at 10.841 g cm⁻³.

---

Which structure is most stable, and how do the rest compare? From most to least stable: entry i, entry ii.

---

Entry i
Below is crystalline Pa2CdCo at its relaxed geometry, with properties calculated at the PBE level.

The structure belongs to space group P4/mmm (No. 123); the cell edges are 3.112, 3.112 and 8.650 Å and the angles 90.00°, 90.00° and 90.00°. Symmetry generates all atoms from Pa at (0.000, 0.000, 0.204), Cd at (0.500, 0.500, 0.500) and Co at (0.500, 0.500, 0.000).

The density of states at the Fermi level is 1.543 states/eV/atom. The calculation puts the density at 12.554 g cm⁻³.

---

Entry ii
Below is crystalline Pa2CdCo at its relaxed geometry, with properties calculated at the PBE level.

The structure belongs to space group R-3m (No. 166, hexagonal axes); the cell edges are 3.3441, 3.3441 and 30.7197 Å and the angles 90.00°, 90.00° and 120.00°. Symmetry generates all atoms from Pa at (0.0000, 0.0000, 0.1090), Cd at (0.0000, 0.0000, 0.0000) and Co at (0.0000, 0.0000, 0.5000).

The density of states at the Fermi level is 0.993 states/eV/atom. The calculation puts the density at 10.606 g cm⁻³.

---

Which structure is most stable, and how do the rest compare? From most to least stable: entry i, entry ii.

---

Entry i
Below is crystalline Cd2Co2Pb at its relaxed geometry, with properties calculated at the PBE level.

The structure belongs to space group P4/mbm (No. 127); the cell edges are 6.585, 6.585 and 4.216 Å and the angles 90.00°, 90.00° and 90.00°. Symmetry generates all atoms from Cd at (0.161, 0.339, 0.000), Co at (0.125, 0.625, 0.500) and Pb at (0.000, 0.000, 0.500).

The density of states at the Fermi level is 0.752 states/eV/atom. The calculation puts the density at 9.988 g cm⁻³.

---

Entry ii
Below is crystalline Cd2Co2Pb at its relaxed geometry, with properties calculated at the PBE level.

The structure belongs to space group I4/mmm (No. 139); the cell edges are 4.063, 4.063 and 11.835 Å and the angles 90.00°, 90.00° and 90.00°. Symmetry generates all atoms from Cd at (0.000, 0.500, 0.250), Co at (0.000, 0.000, 0.092) and Pb at (0.000, 0.000, 0.500).

The density of states at the Fermi level is 1.447 states/eV/atom. The calculation puts the density at 9.348 g cm⁻³.

---

Which structure is most stable, and how do the rest compare? From most to least stable: entry i, entry ii.

---

Entry i
Below is crystalline CdCoPb at its relaxed geometry, with properties calculated at the PBE level.

The structure belongs to space group I4mm (No. 107); the cell edges are 3.238, 3.238 and 11.711 Å and the angles 90.00°, 90.00° and 90.00°. Symmetry generates all atoms from Cd at (0.000, 0.000, 0.000), Co at (0.000, 0.000, 0.631) and Pb at (0.000, 0.000, 0.271).

The density of states at the Fermi level is 0.773 states/eV/atom. The calculation puts the density at 10.239 g cm⁻³.

---

Entry ii
Below is crystalline CdCoPb at its relaxed geometry, with properties calculated at the PBE level.

The structure belongs to space group F-43m (No. 216); the cell edges are 6.309, 6.309 and 6.309 Å and the angles 90.00°, 90.00° and 90.00°. Symmetry generates all atoms from Cd at (0.000, 0.000, 0.000), Co at (0.250, 0.250, 0.750) and Pb at (0.000, 0.000, 0.500).

The density of states at the Fermi level is 0.775 states/eV/atom. The calculation puts the density at 10.010 g cm⁻³.

---

Entry iii
Below is crystalline CdCoPb at its relaxed geometry, with properties calculated at the PBE level.

The structure belongs to space group P3m1 (No. 156); the cell edges are 3.2732, 3.2732 and 6.7819 Å and the angles 90.00°, 90.00° and 120.00°. Symmetry generates all atoms from Cd at (0.0000, 0.0000, 0.0000), Co at (0.6667, 0.3333, 0.2868) and Pb at (0.3333, 0.6667, 0.5781).

The density of states at the Fermi level is 1.197 states/eV/atom. The calculation puts the density at 9.990 g cm⁻³.

---

Which structure is most stable, and how do the rest compare? From most to least stable: entry ii, entry i, entry iii.